Entry from Alexandria via LeMat-Bulk: a relaxed AlPO4 crystal (PBEsol).

a = 4.9882 Å, b = 4.9882 Å, c = 11.0292 Å
α = 90.00°, β = 90.00°, γ = 120.00°
Fractional positions:
Al (0.0000, 0.5321, 0.3333)
Al (0.4679, 0.4679, 0.0000)
Al (0.5321, 0.0000, 0.6667)
P (0.0000, 0.5319, 0.8333)
P (0.4681, 0.4681, 0.5000)
P (0.5319, 0.0000, 0.1667)
O (0.1266, 0.4162, 0.9352)
O (0.1595, 0.4150, 0.4487)
O (0.2555, 0.8405, 0.7820)
O (0.2896, 0.8734, 0.2685)
O (0.4150, 0.1595, 0.5513)
O (0.4162, 0.1266, 0.0648)
O (0.5838, 0.7104, 0.6018)
O (0.5850, 0.7445, 0.1153)
O (0.7104, 0.5838, 0.3982)
O (0.7445, 0.5850, 0.8847)
O (0.8405, 0.2555, 0.2180)
O (0.8734, 0.2896, 0.7315)

Results
- crystal system = trigonal
- space-group type = P3_221, No. 154
- ΔE_f (raw) (kJ per mole of atoms) = -255.36